Compound: Li7Ca3Cu2
Source: Alexandria
Functional: GGA-PBE
Structure: optimized geometry

Cell lengths 5.8546, 5.8546, 27.6005 Å; angles 90.00, 90.00, 120.00 degrees
Space group R-3m (No. 166, hexagonal axes)
Unique sites:
Li  0.0000  0.0000  0.0000
Li  0.0010  0.5005  0.4276
Ca  0.0000  0.0000  0.3583
Ca  0.0000  0.0000  0.5000
Cu  0.0000  0.0000  0.1665

Energy of formation from the pure elements (meV/atom): 9.7
Magnetic moment (μB/f.u.): 0.0
DFT total energy (eV per atom): -2.29


Compound: AcTm2SbO8
Source: Alexandria
Functional: GGA-PBE
Structure: optimized geometry

Cell lengths 7.0346, 7.0962, 7.2492 Å; angles 90.00, 90.00, 90.00 degrees
Space group Cmmm (No. 65)
Unique sites:
Ac  0.0000  0.0000  0.0000
Tm  0.0000  0.5000  0.2690
Sb  0.0000  0.0000  0.5000
O  0.0000  0.1906  0.2954
O  0.1652  0.5000  0.0000
O  0.2125  0.5000  0.5000

Magnetic moment (μB/f.u.): 1.1
DFT total energy (eV per atom): -7.24
Formation energy (no corrections) (eV/atom): -2.505


Compound: TeI2N2
Source: Alexandria
Functional: GGA-PBE
Structure: optimized geometry

Cell lengths 9.3302, 9.3302, 3.5274 Å; angles 90.00, 90.00, 90.00 degrees
Space group P4/mbm (No. 127)
Unique sites:
Te  0.0000  0.0000  0.0000
I  0.2382  0.2618  0.0000
N  0.1589  0.3411  0.5000

Energy above the most stable polymorph in this dataset (eV per formula unit): 7.957
Magnetic moment (μB/f.u.): 0.0
DFT total energy (eV per atom): -2.99
Formation energy (no corrections) (eV/atom): 1.588


Compound: Sm2TmTl
Source: Alexandria
Functional: GGA-PBE
Structure: optimized geometry

Cell lengths 6.7830, 8.7255, 8.0982 Å; angles 90.00, 90.00, 90.00 degrees
Space group Imma (No. 74)
Unique sites:
Sm  0.2500  0.0484  0.2500
Tm  0.0000  0.2500  0.5653
Tl  0.0000  0.2500  0.9493

Energy above the most stable polymorph in this dataset (eV per formula unit): 0.000
Energy of formation from the pure elements (meV/atom): -165.8
Magnetic moment (μB/f.u.): 0.0
DFT total energy (eV per atom): -4.23


Compound: PmErCuBi
Source: Alexandria
Functional: GGA-PBE
Structure: optimized geometry

Cell lengths 7.4278, 7.4278, 7.4278 Å; angles 90.00, 90.00, 90.00 degrees
Space group F-43m (No. 216)
Unique sites:
Pm  0.0000  0.0000  0.0000
Er  0.0000  0.0000  0.5000
Cu  0.2500  0.2500  0.7500
Bi  0.2500  0.2500  0.2500

Energy of formation from the pure elements (meV/atom): -322.5
Magnetic moment (μB/f.u.): 0.0
DFT total energy (eV per atom): -4.65


Compound: LiTlHg2S4
Source: Alexandria
Functional: GGA-PBE
Structure: optimized geometry

Cell lengths 5.9030, 5.9030, 11.7809 Å; angles 90.00, 90.00, 90.00 degrees
Space group I-42m (No. 121)
Unique sites:
Li  0.0000  0.0000  0.0000
Tl  0.0000  0.0000  0.5000
Hg  0.0000  0.5000  0.2500
S  0.2412  0.2412  0.1202

Magnetic moment (μB/f.u.): 0.0
DFT total energy (eV per atom): -3.05
Formation energy (no corrections) (eV/atom): -0.380


Compound: Cs2TlCuCl4
Source: Alexandria
Functional: GGA-PBE
Structure: optimized geometry

Cell lengths 4.6121, 18.3961, 16.7367 Å; angles 90.00, 90.00, 90.00 degrees
Space group Cmcm (No. 63)
Unique sites:
Cs  0.0000  0.1244  0.0466
Tl  0.0000  0.3191  0.2500
Cu  0.0000  0.2876  0.7500
Cl  0.0000  0.1494  0.2500
Cl  0.0000  0.2385  0.6254
Cl  0.0000  0.5000  0.0000

Magnetic moment (μB/f.u.): 0.1
DFT total energy (eV per atom): -3.25
Formation energy (no corrections) (eV/atom): -1.309


Compound: RbInAuSe2
Source: Alexandria
Functional: GGA-PBE
Structure: optimized geometry

Cell lengths 7.0874, 14.3551, 6.2407 Å; angles 90.00, 90.00, 90.00 degrees
Space group Cmme (No. 67)
Unique sites:
Rb  0.0000  0.2500  0.2324
In  0.2500  0.0000  0.5000
Au  0.0000  0.0000  0.0000
Se  0.0000  0.1264  0.7325

Magnetic moment (μB/f.u.): 0.0
DFT total energy (eV per atom): -3.33
Formation energy (no corrections) (eV/atom): -0.539